# KY2Fe (PBE, optimized geometry)
data_KY2Fe
_symmetry_space_group_name_H-M 'C 1 2/m 1'
_symmetry_Int_Tables_number 12
_cell_length_a 6.866
_cell_length_b 11.235
_cell_length_c 3.377
_cell_angle_alpha 90.00
_cell_angle_beta 114.84
_cell_angle_gamma 90.00
loop_
_symmetry_equiv_pos_as_xyz
'x,y,z'
'-x,-y,-z'
'-x,y,-z'
'x,-y,z'
'x+1/2,y+1/2,z'
'-x+1/2,-y+1/2,-z'
'-x+1/2,y+1/2,-z'
'x+1/2,-y+1/2,z'
loop_
_atom_site_label
_atom_site_type_symbol
_atom_site_fract_x
_atom_site_fract_y
_atom_site_fract_z
_atom_site_occupancy
K1 K 0.000 0.000 0.000 1
Y1 Y 0.250 0.250 0.500 1
Fe1 Fe 0.000 0.500 0.000 1
# ΔH_f (0 K): 0.870 eV/atom
# mass density: 3.832 g/cm³
# distance to the lowest polymorph of the same formula: 662 meV per atom
# magnetization: 4.27 μB/cell

***

# Pr3Ge6PdPt2 (PBE, optimized geometry)
data_Pr3Ge6PdPt2
_symmetry_space_group_name_H-M 'P -3 m 1'
_symmetry_Int_Tables_number 164
_symmetry_space_group_name_Hall '-P 3 2"'
_cell_length_a 6.0301
_cell_length_b 6.0301
_cell_length_c 8.2466
_cell_angle_alpha 90.00
_cell_angle_beta 90.00
_cell_angle_gamma 120.00
loop_
_atom_site_label
_atom_site_type_symbol
_atom_site_fract_x
_atom_site_fract_y
_atom_site_fract_z
_atom_site_occupancy
Pr1 Pr 0.0000 0.0000 0.0000 1
Pr2 Pr 0.3333 0.6667 0.6452 1
Ge1 Ge 0.1887 0.3775 0.2916 1
Pd1 Pd 0.0000 0.0000 0.5000 1
Pt1 Pt 0.3333 0.6667 0.0323 1
# ΔH_f (0 K): -0.464 eV/atom
# mass density: 8.665 g/cm³
# magnetization: 0.00 μB/cell

***

# Y2SiN3 (PBE, optimized geometry)
data_Y2SiN3
_symmetry_space_group_name_H-M 'C 1 2/c 1'
_symmetry_Int_Tables_number 15
_cell_length_a 5.260
_cell_length_b 10.407
_cell_length_c 11.359
_cell_angle_alpha 90.00
_cell_angle_beta 92.80
_cell_angle_gamma 90.00
loop_
_symmetry_equiv_pos_as_xyz
'x,y,z'
'-x,-y,-z'
'-x,y,-z+1/2'
'x,-y,z+1/2'
'x+1/2,y+1/2,z'
'-x+1/2,-y+1/2,-z'
'-x+1/2,y+1/2,-z+1/2'
'x+1/2,-y+1/2,z+1/2'
loop_
_atom_site_label
_atom_site_type_symbol
_atom_site_fract_x
_atom_site_fract_y
_atom_site_fract_z
_atom_site_occupancy
Y1 Y 0.230 0.200 0.356 1
Y2 Y 0.237 0.112 0.930 1
Si1 Si 0.235 0.499 0.834 1
N1 N 0.000 0.001 0.750 1
N2 N 0.000 0.416 0.250 1
N3 N 0.198 0.335 0.863 1
N4 N 0.229 0.097 0.540 1
# mass density: 5.303 g/cm³
# magnetization: 0.00 μB/cell
# ΔE_f (raw): -129.9 kJ per mole of atoms

***

| no. | N(E_F) (states/eV/f.u.) | total energy (eV per cell) |
| --- | --- | --- |
| 1 | 8.2 | -38.02 |
| 2 | 4.9 | -64.89 |
| 3 | 2.2 | -411.26 |